Sr2TlFe: PBEsol geometry, SCAN.

Values from the calculation:
- calculated formation energy (eV per atom) = 0.14
- volume (Å³/atom) = 25.88
- calculated density (Mg/m³) = 7.0
- total moment (μB/cell) = 11.71

Unit cell a=7.4534 b=7.4534 c=7.4534 alpha=90.00 beta=90.00 gamma=90.00
Space group F-43m (No. 216)
Asymmetric unit:
1 Sr 0.0000 0.0000 0.0000 [4 per cell]
2 Sr 0.2500 0.2500 0.2500 [4 per cell]
3 Tl 0.0000 0.0000 0.5000 [4 per cell]
4 Fe 0.2500 0.2500 0.7500 [4 per cell]